1.
# KBa2Cr

An optimized crystal structure of KBa2Cr (GGA-PBEsol, Alexandria via LeMat-Bulk).

The structure in POSCAR format:
```
KBa2Cr
1.0
4.1124 0.0000 0.0000
0.0000 4.1124 0.0000
0.0000 0.0000 11.1856
K Ba Cr
1 2 1
direct
0.0000 0.0000 0.0000 K
0.5000 0.5000 0.3234 Ba
0.5000 0.5000 0.6766 Ba
0.0000 0.0000 0.5000 Cr
```

Computed properties:
* magnetic moment: 1.118 μB per atom
* SG: No. 123



2.
# Li3Zn

An optimized crystal structure of Li3Zn (GGA-PBEsol, Alexandria via LeMat-Bulk).

The structure in POSCAR format:
```
Li3Zn
1.0
-1.4718 4.6230 2.3531
1.4718 -4.6230 2.3531
1.4718 4.6230 -2.3531
Li Zn
3 1
direct
0.0000 0.0000 0.0000 Li
0.3457 0.5834 0.7623 Li
0.8210 0.5834 0.2377 Li
0.4886 0.9886 0.5000 Zn
```

Computed properties:
* magnetic moment: 0.000 μB per atom
* SG: No. 44



3.
# LiY2Pb2

An optimized crystal structure of LiY2Pb2 (GGA-PBEsol, Alexandria via LeMat-Bulk).

The structure in POSCAR format:
```
LiY2Pb2
1.0
7.5845 0.0000 0.0000
0.0000 7.5845 0.0000
0.0000 0.0000 4.5679
Li Y Pb
2 4 4
direct
0.0000 0.0000 0.0000 Li
0.5000 0.5000 0.0000 Li
0.1696 0.3304 0.5000 Y
0.3304 0.8304 0.5000 Y
0.6696 0.1696 0.5000 Y
0.8304 0.6696 0.5000 Y
0.1401 0.6401 0.0000 Pb
0.3599 0.1401 0.0000 Pb
0.6401 0.8599 0.0000 Pb
0.8599 0.3599 0.0000 Pb
```

Computed properties:
* magnetic moment: 0.000 μB per atom
* SG: No. 127



4.
# CeCo5P3

An optimized crystal structure of CeCo5P3 (GGA-PBEsol, Alexandria via LeMat-Bulk).

The structure in POSCAR format:
```
CeCo5P3
1.0
11.5654 0.0000 0.0000
0.0000 3.6329 0.0000
0.0000 0.0000 10.2680
Ce Co P
4 20 12
direct
0.2018 0.2500 0.0846 Ce
0.2982 0.7500 0.5846 Ce
0.7018 0.2500 0.4154 Ce
0.7982 0.7500 0.9154 Ce
0.0090 0.7500 0.7142 Co
0.0149 0.7500 0.0927 Co
0.0691 0.7500 0.4720 Co
0.1762 0.2500 0.7821 Co
0.1976 0.2500 0.3848 Co
0.3024 0.7500 0.8848 Co
0.3238 0.7500 0.2821 Co
0.4309 0.2500 0.9720 Co
0.4851 0.2500 0.5927 Co
0.4910 0.2500 0.2142 Co
0.5090 0.7500 0.7858 Co
0.5149 0.7500 0.4073 Co
0.5691 0.7500 0.0280 Co
0.6762 0.2500 0.7179 Co
0.6976 0.2500 0.1152 Co
0.8024 0.7500 0.6152 Co
0.8238 0.7500 0.2179 Co
0.9309 0.2500 0.5280 Co
0.9851 0.2500 0.9073 Co
0.9910 0.2500 0.2858 Co
0.1077 0.7500 0.8943 P
0.1097 0.2500 0.5859 P
0.1287 0.7500 0.2769 P
0.3713 0.2500 0.7769 P
0.3903 0.7500 0.0859 P
0.3923 0.2500 0.3943 P
0.6077 0.7500 0.6057 P
0.6097 0.2500 0.9141 P
0.6287 0.7500 0.2231 P
0.8713 0.2500 0.7231 P
0.8903 0.7500 0.4141 P
0.8923 0.2500 0.1057 P
```

Computed properties:
* magnetic moment: 0.053 μB per atom
* SG: No. 62



5.
# InCuBi2P

An optimized crystal structure of InCuBi2P (GGA-PBEsol, Alexandria via LeMat-Bulk).

The structure in POSCAR format:
```
InCuBi2P
1.0
5.6149 0.0000 0.0000
0.0000 5.6149 0.0000
0.0000 0.0000 4.6471
In Cu Bi P
1 1 2 1
direct
0.0000 0.0000 0.0000 In
0.0000 0.0000 0.5000 Cu
0.0000 0.5000 0.0000 Bi
0.5000 0.0000 0.0000 Bi
0.5000 0.5000 0.5000 P
```

Computed properties:
* magnetic moment: 0.000 μB per atom
* SG: No. 123



6.
# BaZr2Mo

An optimized crystal structure of BaZr2Mo (GGA-PBEsol, Alexandria via LeMat-Bulk).

The structure in POSCAR format:
```
BaZr2Mo
1.0
5.0178 0.0000 0.0000
0.0000 5.0178 0.0000
0.0000 0.0000 3.4756
Ba Zr Mo
1 2 1
direct
0.0000 0.0000 0.0000 Ba
0.0000 0.5000 0.5000 Zr
0.5000 0.0000 0.5000 Zr
0.5000 0.5000 0.0000 Mo
```

Computed properties:
* magnetic moment: 0.000 μB per atom
* SG: No. 123



7.
# RbTaBe3

An optimized crystal structure of RbTaBe3 (GGA-PBEsol, Alexandria via LeMat-Bulk).

The structure in POSCAR format:
```
RbTaBe3
1.0
4.8444 0.0000 0.0000
0.0000 4.8444 0.0000
0.0000 0.0000 4.8444
Rb Ta Be
1 1 3
direct
0.0000 0.0000 0.0000 Rb
0.5000 0.5000 0.5000 Ta
0.0000 0.5000 0.5000 Be
0.5000 0.0000 0.5000 Be
0.5000 0.5000 0.0000 Be
```

Computed properties:
* magnetic moment: 0.244 μB per atom
* SG: No. 221



8.
# ZrTlZn2

An optimized crystal structure of ZrTlZn2 (GGA-PBEsol, Alexandria via LeMat-Bulk).

The structure in POSCAR format:
```
ZrTlZn2
1.0
4.5959 -1.5879 0.0000
4.5959 1.5879 0.0000
-0.9775 0.0000 5.2538
Zr Tl Zn
1 1 2
direct
0.0000 0.0000 0.0000 Zr
0.5000 0.5000 0.5000 Tl
0.2523 0.2523 0.7636 Zn
0.7477 0.7477 0.2364 Zn
```

Computed properties:
* magnetic moment: 0.000 μB per atom
* SG: No. 12



Calculated ΔH_f (0 K) in order - 534 -66 -503 -896 1062 845 1541 58 meV per atom
Calculated mass density in order - 3.21 2.24 7.57 8.12 7.11 7.89 4.29 9.23 g cm⁻³